# 1
Dy5TlRh2 after structural relaxation, computed with PBE.

Structure (extended XYZ):
```
16
Lattice="7.030 0.000 -3.319 -1.567 6.853 -3.319 -0.185 -0.232 8.715" Properties=species:S:1:pos:R:3 pbc="T T T"
Dy 2.732 3.427 -3.319
Dy 2.449 4.673 2.289
Dy 1.278 0.002 5.607
Dy -0.781 3.429 4.550
Dy 4.001 6.619 -3.530
Dy 6.060 3.193 -2.473
Dy 0.000 0.000 0.000
Dy 4.509 1.246 3.346
Dy 2.830 1.949 -0.211
Dy 0.770 5.376 -1.268
Rh 0.415 2.471 -1.659
Rh 1.187 5.898 -4.053
Rh 4.277 0.955 -2.585
Rh 5.049 4.382 -4.978
Tl 1.274 1.598 2.698
Tl 4.005 5.024 -0.621
```

Raw total energy in eV per cell: -89.8
Formation enthalpy at 0 K in meV/atom: -605


# 2
HfHgP2O after structural relaxation, computed with PBE.

Structure (extended XYZ):
```
5
Lattice="-5.177 0.240 0.485 0.248 -3.089 4.182 0.363 3.161 2.314" Properties=species:S:1:pos:R:3 pbc="T T T"
P 0.124 -1.544 2.091
P -2.588 0.120 0.242
Hg -2.283 0.156 3.490
Hf 0.000 0.000 0.000
O 0.182 1.581 1.157
```

Formation energy without anion corrections in eV/atom: -0.472
Raw total energy in eV per cell: -28.4


Which value of raw total energy does entry 1 give?
-89.8 eV per cell


What is the formula in the second record?
HfHgP2O


Look up the raw total energy of the first one.
-89.8 eV per cell